Below is a relaxed structure of Tm3Sb5O12, with properties calculated at the GGA-PBE level.

The structure in POSCAR format:
```
Tm3Sb5O12
1.0
-5.392 5.392 5.392
5.392 -5.392 5.392
5.392 5.392 -5.392
Tm Sb O
6 10 24
Direct
0.250 0.500 0.750
0.250 0.750 0.500
0.500 0.250 0.750
0.500 0.750 0.250
0.750 0.250 0.500
0.750 0.500 0.250
0.000 0.000 0.517
0.000 0.283 0.283
0.000 0.517 0.000
0.000 0.717 0.717
0.283 0.000 0.283
0.283 0.283 0.000
0.483 0.483 0.483
0.517 0.000 0.000
0.717 0.000 0.717
0.717 0.717 0.000
0.000 0.203 0.481
0.000 0.481 0.203
0.000 0.499 0.704
0.000 0.704 0.499
0.203 0.000 0.481
0.203 0.481 0.000
0.204 0.501 0.501
0.278 0.797 0.797
0.296 0.296 0.796
0.296 0.796 0.296
0.481 0.000 0.203
0.481 0.203 0.000
0.499 0.000 0.704
0.499 0.704 0.000
0.501 0.204 0.501
0.501 0.501 0.204
0.519 0.519 0.722
0.519 0.722 0.519
0.704 0.000 0.499
0.704 0.499 0.000
0.722 0.519 0.519
0.796 0.296 0.296
0.797 0.278 0.797
0.797 0.797 0.278
```

## Properties
Energy   -6.941 eV per atom
DOS(E_F)   0.00 states/eV/atom
Crystal system   cubic

Below is a relaxed structure of Tm2Sb2O7, with properties calculated at the GGA-PBE level.

The structure in POSCAR format:
```
Tm2Sb2O7
1.0
7.493 0.000 0.000
-3.746 6.489 0.000
0.000 0.000 18.353
Tm Sb O
12 12 42
Direct
0.000 0.830 0.167
0.000 0.836 0.667
0.164 0.164 0.000
0.170 0.170 0.500
0.178 0.681 0.011
0.319 0.497 0.344
0.497 0.319 0.656
0.503 0.822 0.678
0.681 0.178 0.989
0.822 0.503 0.322
0.830 0.000 0.833
0.836 0.000 0.333
0.000 0.306 0.667
0.000 0.319 0.167
0.167 0.667 0.500
0.306 0.000 0.333
0.319 0.000 0.833
0.333 0.500 0.834
0.500 0.333 0.166
0.500 0.833 0.167
0.667 0.167 0.500
0.681 0.681 0.500
0.694 0.694 0.000
0.833 0.500 0.833
0.009 0.331 0.290
0.011 0.814 0.528
0.020 0.855 0.284
0.058 0.450 0.804
0.106 0.657 0.393
0.145 0.165 0.617
0.165 0.145 0.383
0.186 0.197 0.861
0.197 0.186 0.139
0.201 0.690 0.137
0.238 0.696 0.606
0.304 0.542 0.939
0.310 0.511 0.471
0.322 0.991 0.957
0.331 0.009 0.710
0.343 0.449 0.726
0.392 0.942 0.470
0.449 0.343 0.274
0.450 0.058 0.196
0.458 0.762 0.272
0.489 0.799 0.804
0.511 0.310 0.529
0.542 0.304 0.061
0.550 0.608 0.137
0.551 0.894 0.059
0.608 0.550 0.863
0.657 0.106 0.607
0.669 0.678 0.624
0.678 0.669 0.376
0.690 0.201 0.863
0.696 0.238 0.394
0.762 0.458 0.728
0.799 0.489 0.196
0.803 0.989 0.195
0.814 0.011 0.472
0.835 0.980 0.950
0.855 0.020 0.716
0.894 0.551 0.941
0.942 0.392 0.530
0.980 0.835 0.050
0.989 0.803 0.805
0.991 0.322 0.043
```

## Properties
Energy   -7.116 eV per atom
DOS(E_F)   0.00 states/eV/atom
Crystal system   trigonal

Q: The lowest energy belongs to which entry?
A: Tm2Sb2O7